1.
{"formula": "K4NaHg", "functional": "PBE", "state": "optimized geometry", "lattice_angstrom": [[5.577, -8.345, 0.000], [5.577, 8.345, 0.000], [-2.548, 0.000, 6.886]], "species": ["K", "K", "K", "K", "K", "K", "K", "K", "Na", "Na", "Hg", "Hg"], "fractional_positions": [[0.066, 0.714, 0.935], [0.207, 0.367, 0.644], [0.286, 0.934, 0.565], [0.367, 0.207, 0.144], [0.633, 0.793, 0.856], [0.714, 0.066, 0.435], [0.793, 0.633, 0.356], [0.934, 0.286, 0.065], [0.380, 0.620, 0.250], [0.620, 0.380, 0.750], [0.002, 0.998, 0.250], [0.998, 0.002, 0.750]], "e_above_lowest_polymorph_kcal_per_mol_atoms": 0.08, "formation_enthalpy_0k_mev_per_atom": -70, "total_energy_ev_per_atom": -1.07}

=====

2.
{"formula": "TbVRh", "functional": "PBE", "state": "optimized geometry", "lattice_angstrom": [[3.445, 0.000, 0.000], [0.000, 3.445, 0.000], [0.000, 0.000, 9.755]], "species": ["Tb", "Tb", "V", "V", "Rh", "Rh"], "fractional_positions": [[0.000, 0.000, 0.172], [0.000, 0.000, 0.828], [0.500, 0.500, 0.396], [0.500, 0.500, 0.604], [0.000, 0.000, 0.500], [0.500, 0.500, 0.000]], "formation_enthalpy_0k_mev_per_atom": -185, "total_energy_ev_per_atom": -7.22}

=====

3.
{"formula": "TiCuNi", "functional": "PBE", "state": "optimized geometry", "lattice_angstrom": [[2.672, 0.000, 0.000], [-1.336, 2.314, 0.000], [0.000, 0.000, 12.716]], "species": ["Ti", "Ti", "Cu", "Cu", "Ni", "Ni"], "fractional_positions": [[0.000, 0.000, 0.000], [0.000, 0.000, 0.500], [0.333, 0.667, 0.176], [0.333, 0.667, 0.824], [0.667, 0.333, 0.336], [0.667, 0.333, 0.664]], "e_above_lowest_polymorph_kcal_per_mol_atoms": 6.63, "formation_enthalpy_0k_mev_per_atom": -23, "total_energy_ev_per_atom": -5.95}

=====

4.
{"formula": "Pm6Bi5Se", "functional": "PBE", "state": "optimized geometry", "lattice_angstrom": [[3.919, -6.775, 0.000], [3.919, 6.775, 0.000], [-2.611, 0.000, 7.382]], "species": ["Pm", "Pm", "Pm", "Pm", "Pm", "Pm", "Bi", "Bi", "Bi", "Bi", "Bi", "Se"], "fractional_positions": [[0.081, 0.405, 0.744], [0.241, 0.241, 0.251], [0.405, 0.081, 0.744], [0.595, 0.919, 0.256], [0.759, 0.759, 0.749], [0.919, 0.595, 0.256], [0.171, 0.829, 0.000], [0.334, 0.666, 0.500], [0.500, 0.500, 0.000], [0.666, 0.334, 0.500], [0.829, 0.171, 0.000], [0.000, 0.000, 0.500]], "e_form_raw_ev_per_atom": -1.084, "total_energy_ev_per_atom": -5.37}